Computed, not measured: crystalline Mn3TlMo at its relaxed geometry at the PBEsol level of DFT.

extended XYZ file:
```
5
Lattice="4.5215 0.0000 0.0000 0.0000 4.5215 0.0000 0.0000 0.0000 4.5215" Properties=species:S:1:pos:R:3 pbc="T T T"
Mn 2.2607 0.0000 0.0000
Mn 0.0000 2.2607 0.0000
Tl 2.2607 2.2607 2.2607
Mo 0.0000 0.0000 0.0000
Mn 0.0000 0.0000 2.2607
```

Calculated values
For the mass density, the calculation gives 8.36 g/cm3. The formation energy is 31.45 kcal/mol of atoms. Its space group is Pm-3m, No. 221. The total magnetization is 1.4541 μB per atom.